Computed, not measured: crystalline PuNpNbRu at its relaxed geometry at the PBE level of DFT.

- final energy (eV per atom) = -11.491
- DOS(E_F) (states/eV per atom) = 2.16
- crystal system = cubic
- energy of formation (eV per atom) = 0.164
- space-group type = No. 216

abc: 4.7139 4.7139 4.7139
angles: 60.00 60.00 60.00
With the nearest neighbours (Å) after each atom.
Fractional coordinates of all 4 atoms:
Pu 0.0000 0.0000 0.0000  4 Ru 2.89, 4 Np 2.89
Nb 0.5000 0.5000 0.5000  4 Np 2.89, 4 Ru 2.89
Np 0.2500 0.2500 0.2500  4 Nb 2.89, 4 Pu 2.89
Ru 0.7500 0.7500 0.7500  4 Pu 2.89, 4 Nb 2.89

=====

Computed, not measured: crystalline Rb2Np2NbS6 at its relaxed geometry at the PBE level of DFT.

- final energy (eV per atom) = -6.969
- DOS(E_F) (states/eV per atom) = 2.01
- crystal system = monoclinic
- formation energy (no corrections) (eV/atom) = -1.273
- space-group type = No. 12

abc: 6.6965 6.6965 8.2373
angles: 97.94 97.94 119.55
With the nearest neighbours (Å) after each atom.
Fractional coordinates of all 11 atoms:
Np 0.3335 0.6665 0.5000  6 S 2.73
Np 0.6665 0.3335 0.5000  6 S 2.73
S 0.6211 0.9366 0.3143  1 Nb 2.58, 2 Np 2.73
S 0.9366 0.6211 0.3143  1 Nb 2.58, 2 Np 2.73
S 0.0634 0.3789 0.6857  1 Nb 2.58, 2 Np 2.73
S 0.2517 0.2517 0.3147  1 Nb 2.58, 2 Np 2.73
S 0.7483 0.7483 0.6853  1 Nb 2.58, 2 Np 2.73
S 0.3789 0.0634 0.6857  1 Nb 2.58, 2 Np 2.73
Nb 0.0000 0.0000 0.5000  6 S 2.58
Rb 0.8313 0.1687 0.0000  6 S 3.32-3.41
Rb 0.1687 0.8313 0.0000  6 S 3.32-3.41

=====

Computed, not measured: crystalline NpNbRe4 at its relaxed geometry at the PBE level of DFT.

- final energy (eV per atom) = -12.004
- DOS(E_F) (states/eV per atom) = 2.07
- crystal system = cubic
- energy of formation (eV per atom) = 0.130
- space-group type = No. 216

abc: 5.3161 5.3161 5.3161
angles: 60.00 60.00 60.00
With the nearest neighbours (Å) after each atom.
Fractional coordinates of all 6 atoms:
Re 0.6254 0.1237 0.6254  6 Re 2.65-2.67
Re 0.6254 0.6254 0.6254  6 Re 2.65-2.67
Re 0.6254 0.6254 0.1237  6 Re 2.65-2.67
Re 0.1237 0.6254 0.6254  6 Re 2.65-2.67
Np 0.2500 0.2500 0.2500  12 Re 3.12, 4 Nb 3.26
Nb 0.0000 0.0000 0.0000  12 Re 3.12, 4 Np 3.26

=====

Computed, not measured: crystalline NpTiNbRe at its relaxed geometry at the PBE level of DFT.

- final energy (eV per atom) = -10.668
- DOS(E_F) (states/eV per atom) = 2.31
- crystal system = cubic
- energy of formation (eV per atom) = 0.171
- space-group type = No. 216

abc: 4.6238 4.6238 4.6238
angles: 60.00 60.00 60.00
With the nearest neighbours (Å) after each atom.
Fractional coordinates of all 4 atoms:
Np 0.5000 0.5000 0.5000  4 Nb 2.83, 4 Ti 2.83
Ti 0.2500 0.2500 0.2500  4 Re 2.83, 4 Np 2.83
Re 0.0000 0.0000 0.0000  4 Nb 2.83, 4 Ti 2.83
Nb 0.7500 0.7500 0.7500  4 Re 2.83, 4 Np 2.83

=====

Computed, not measured: crystalline NpNbRh at its relaxed geometry at the PBE level of DFT.

- final energy (eV per atom) = -10.049
- DOS(E_F) (states/eV per atom) = 1.45
- crystal system = tetragonal
- energy of formation (eV per atom) = 0.071
- space-group type = No. 129

abc: 3.6948 3.6948 8.0051
angles: 90.00 90.00 90.00
With the nearest neighbours (Å) after each atom.
Fractional coordinates of all 6 atoms:
Np 0.0000 0.0000 0.5000  4 Np 2.61
Np 0.5000 0.5000 0.5000  4 Np 2.61
Nb 0.5000 0.0000 0.8707  5 Rh 2.56-2.66
Nb 0.0000 0.5000 0.1293  5 Rh 2.56-2.66
Rh 0.0000 0.5000 0.8096  5 Nb 2.56-2.66
Rh 0.5000 0.0000 0.1904  5 Nb 2.56-2.66

=====

Computed, not measured: crystalline NpNbRh at its relaxed geometry at the PBE level of DFT.

- final energy (eV per atom) = -10.113
- DOS(E_F) (states/eV per atom) = 1.95
- crystal system = tetragonal
- energy of formation (eV per atom) = 0.007
- space-group type = No. 107

abc: 3.0313 3.0313 6.4919
angles: 103.50 103.50 90.00
With the nearest neighbours (Å) after each atom.
Fractional coordinates of all 3 atoms:
Nb 0.6496 0.6496 0.2992  4 Rh 2.71, 4 Nb 3.03
Np 0.3360 0.3360 0.6719  4 Np 3.03, 4 Rh 3.06, 4 Nb 3.13
Rh 0.0144 0.0144 0.0289  4 Nb 2.71, 4 Rh 3.03

=====

Computed, not measured: crystalline NpNb2Rh at its relaxed geometry at the PBE level of DFT.

- final energy (eV per atom) = -10.094
- DOS(E_F) (states/eV per atom) = 1.46
- crystal system = tetragonal
- energy of formation (eV per atom) = 0.014
- space-group type = No. 123

abc: 2.9939 4.8673 4.8673
angles: 90.00 90.00 90.00
With the nearest neighbours (Å) after each atom.
Fractional coordinates of all 4 atoms:
Np 0.5000 0.5000 0.5000  8 Nb 2.86, 2 Np 2.99
Nb 0.0000 0.0000 0.5000  4 Rh 2.86, 4 Np 2.86, 2 Nb 2.99
Nb 0.0000 0.5000 0.0000  4 Np 2.86, 4 Rh 2.86, 2 Nb 2.99
Rh 0.5000 0.0000 0.0000  8 Nb 2.86, 2 Rh 2.99

=====

Computed, not measured: crystalline Np2NbRh9 at its relaxed geometry at the PBE level of DFT.

- final energy (eV per atom) = -8.945
- DOS(E_F) (states/eV per atom) = 1.85
- crystal system = tetragonal
- energy of formation (eV per atom) = -0.435
- space-group type = No. 123

abc: 3.9771 3.9771 11.9924
angles: 90.00 90.00 90.00
With the nearest neighbours (Å) after each atom.
Fractional coordinates of all 12 atoms:
Rh 0.5000 0.5000 0.6716  4 Np 2.81, 8 Rh 2.84-2.86
Rh 0.5000 0.5000 0.3284  4 Np 2.81, 8 Rh 2.84-2.86
Rh 0.5000 0.0000 0.1591  8 Rh 2.76-2.84, 2 Nb 2.76, 2 Np 2.87
Rh 0.5000 0.0000 0.8409  8 Rh 2.76-2.84, 2 Nb 2.76, 2 Np 2.87
Rh 0.0000 0.5000 0.8409  8 Rh 2.76-2.84, 2 Nb 2.76, 2 Np 2.87
Rh 0.5000 0.5000 0.0000  8 Rh 2.76, 4 Nb 2.81
Rh 0.5000 0.0000 0.5000  8 Rh 2.81-2.86, 4 Np 2.83
Rh 0.0000 0.5000 0.5000  8 Rh 2.81-2.86, 4 Np 2.83
Rh 0.0000 0.5000 0.1591  8 Rh 2.76-2.84, 2 Nb 2.76, 2 Np 2.87
Np 0.0000 0.0000 0.6679  12 Rh 2.81-2.87
Np 0.0000 0.0000 0.3321  12 Rh 2.81-2.87
Nb 0.0000 0.0000 0.0000  12 Rh 2.76-2.81

=====

Computed, not measured: crystalline NpNb2Rh at its relaxed geometry at the PBE level of DFT.

- final energy (eV per atom) = -9.931
- DOS(E_F) (states/eV per atom) = 3.44
- crystal system = cubic
- energy of formation (eV per atom) = 0.177
- space-group type = No. 225

abc: 4.6604 4.6604 4.6604
angles: 60.00 60.00 60.00
With the nearest neighbours (Å) after each atom.
Fractional coordinates of all 4 atoms:
Np 0.0000 0.0000 0.0000  8 Nb 2.85
Nb 0.7500 0.7500 0.7500  4 Rh 2.85, 4 Np 2.85
Nb 0.2500 0.2500 0.2500  4 Rh 2.85, 4 Np 2.85
Rh 0.5000 0.5000 0.5000  8 Nb 2.85

=====

Computed, not measured: crystalline NpNb2Rh at its relaxed geometry at the PBE level of DFT.

- final energy (eV per atom) = -9.977
- DOS(E_F) (states/eV per atom) = 1.49
- crystal system = tetragonal
- energy of formation (eV per atom) = 0.131
- space-group type = No. 123

abc: 3.3407 3.3407 6.3965
angles: 90.00 90.00 90.00
With the nearest neighbours (Å) after each atom.
Fractional coordinates of all 4 atoms:
Rh 0.5000 0.5000 0.5000  8 Nb 2.85
Nb 0.0000 0.0000 0.7488  4 Rh 2.85, 4 Np 2.86, 1 Nb 3.18
Nb 0.0000 0.0000 0.2512  4 Rh 2.85, 4 Np 2.86, 1 Nb 3.18
Np 0.5000 0.5000 0.0000  8 Nb 2.86, 2 Rh 3.20

=====

Computed, not measured: crystalline Np2NbRu at its relaxed geometry at the PBE level of DFT.

- final energy (eV per atom) = -10.966
- DOS(E_F) (states/eV per atom) = 2.57
- crystal system = trigonal
- energy of formation (eV per atom) = 0.340
- space-group type = No. 166

abc: 4.7980 4.7980 4.8130
angles: 60.10 60.10 60.00
With the nearest neighbours (Å) after each atom.
Fractional coordinates of all 4 atoms:
Ru 0.0000 0.0000 0.0000  8 Np 2.94-2.95
Np 0.7498 0.7498 0.7506  4 Ru 2.94-2.95, 4 Nb 2.94-2.95
Np 0.2502 0.2502 0.2494  4 Ru 2.94-2.95, 4 Nb 2.94-2.95
Nb 0.5000 0.5000 0.5000  8 Np 2.94-2.95

=====

Computed, not measured: crystalline NpNbRu4 at its relaxed geometry at the PBE level of DFT.

- final energy (eV per atom) = -9.804
- DOS(E_F) (states/eV per atom) = 1.02
- crystal system = orthorhombic
- energy of formation (eV per atom) = 0.215
- space-group type = No. 47

abc: 3.2197 6.9602 4.6562
angles: 89.99 90.00 90.00
With the nearest neighbours (Å) after each atom.
Fractional coordinates of all 6 atoms:
Ru 0.5000 0.2769 0.0001  2 Np 2.51, 2 Nb 2.80
Ru 0.5000 0.7231 0.9999  2 Np 2.51, 2 Nb 2.80
Ru 0.0000 0.2100 0.5001  2 Nb 2.58, 2 Np 2.75, 4 Ru 2.87
Ru 0.0000 0.7900 0.4999  2 Nb 2.58, 2 Np 2.75, 4 Ru 2.87
Nb 0.5000 0.5000 0.5000  8 Ru 2.58-2.80
Np 0.0000 0.0000 0.0000  8 Ru 2.51-2.75